1.
Y2MoRhAu after structural relaxation, computed with GGA-PBE.

Computed properties:
E_form, eV per atom: 0.255

a b c (Å): 5.3386 5.3386 4.6194
angles (deg): 90.00 90.00 90.00
With the nearest neighbours (Å) after each atom.
Space group P4/mmm (No. 123)
One atom of each set of equivalent atoms:
Y 0.0000 0.5000 0.0000 [2 per cell]  2 Rh 2.67
Mo 0.0000 0.0000 0.5000 [1 per cell]  2 Rh 2.31
Rh 0.0000 0.0000 0.0000 [1 per cell]  2 Mo 2.31
Au 0.5000 0.5000 0.5000 [1 per cell]  8 Y 3.53, 4 Mo 3.77

---

2.
Sm2PaP3 after structural relaxation, computed with GGA-PBE.

Computed properties:
E_form, eV per atom: -1.499

a b c (Å): 8.1113 11.4608 24.3040
angles (deg): 90.00 90.00 90.00
With the nearest neighbours (Å) after each atom.
Space group Fddd (No. 70, origin choice 2)
One atom of each set of equivalent atoms:
Sm 0.1250 0.1250 0.0427 [16 per cell]  6 P 2.88-2.93
Sm 0.1250 0.1250 0.3737 [16 per cell]  6 P 2.87-2.91
Pa 0.1250 0.1250 0.5415 [16 per cell]  6 P 2.80-2.81
P 0.1144 0.3750 0.8750 [16 per cell]  2 Pa 2.81, 4 Sm 2.87-2.91
P 0.1196 0.3694 0.7105 [32 per cell]  2 Pa 2.80, 4 Sm 2.88-2.93

---

3.
Tl2PbS2 after structural relaxation, computed with GGA-PBE.

Computed properties:
Formation energy from raw total energies, eV/atom: -0.42

a b c (Å): 7.3223 4.2286 9.8414
angles (deg): 90.00 90.06 90.00
With the nearest neighbours (Å) after each atom.
Space group C2/m (No. 12)
One atom of each set of equivalent atoms:
Tl 0.1661 0.0000 0.1546 [4 per cell]  3 S 2.96
Pb 0.0000 0.5000 0.5000 [2 per cell]  6 S 2.99
S 0.1670 0.0000 0.6756 [4 per cell]  3 Tl 2.96, 3 Pb 2.99